1.
# LuOs (PBE, optimized geometry)
data_LuOs
_space_group_name_H-M_alt 'F m -3 m'
_space_group_IT_number 225
_space_group_name_Hall '-F 4 2 3'
_cell_length_a 5.595
_cell_length_b 5.595
_cell_length_c 5.595
_cell_angle_alpha 90.00
_cell_angle_beta 90.00
_cell_angle_gamma 90.00
loop_
_atom_site_label
_atom_site_type_symbol
_atom_site_fract_x
_atom_site_fract_y
_atom_site_fract_z
Lu1 Lu 0.000 0.000 0.000
Os1 Os 0.000 0.000 0.500
# Calculated volume (Å³ per atom): 21.889
# DFT formation energy (eV/atom): 0.68

2.
# SmAuS2 (PBE, optimized geometry)
data_SmAuS2
_space_group_name_H-M_alt 'P 1 21/c 1'
_space_group_IT_number 14
_space_group_name_Hall '-P 2ybc'
_cell_length_a 6.117
_cell_length_b 7.097
_cell_length_c 7.931
_cell_angle_alpha 90.00
_cell_angle_beta 90.04
_cell_angle_gamma 90.00
loop_
_atom_site_label
_atom_site_type_symbol
_atom_site_fract_x
_atom_site_fract_y
_atom_site_fract_z
Sm1 Sm 0.163 0.034 0.248
Au1 Au 0.492 0.741 0.996
S1 S 0.068 0.748 0.000
S2 S 0.379 0.097 0.758
# Calculated volume (Å³ per atom): 21.520
# Energy (eV/f.u.): -21.21

3.
# Ta3S4 (PBE, optimized geometry)
data_Ta3S4
_space_group_name_H-M_alt 'P 63/m'
_space_group_IT_number 176
_space_group_name_Hall '-P 6c'
_cell_length_a 9.6371
_cell_length_b 9.6371
_cell_length_c 3.3430
_cell_angle_alpha 90.00
_cell_angle_beta 90.00
_cell_angle_gamma 120.00
loop_
_atom_site_label
_atom_site_type_symbol
_atom_site_fract_x
_atom_site_fract_y
_atom_site_fract_z
Ta1 Ta 0.1125 0.6272 0.2500
S1 S 0.0605 0.3454 0.2500
S2 S 0.3333 0.6667 0.7500
# Calculated volume (Å³ per atom): 19.205
# Energy (eV/f.u.): -59.06

4.
# ErMgSn (PBE, optimized geometry)
data_ErMgSn
_space_group_name_H-M_alt 'I 4/m m m'
_space_group_IT_number 139
_space_group_name_Hall '-I 4 2'
_cell_length_a 4.366
_cell_length_b 4.366
_cell_length_c 15.805
_cell_angle_alpha 90.00
_cell_angle_beta 90.00
_cell_angle_gamma 90.00
loop_
_atom_site_label
_atom_site_type_symbol
_atom_site_fract_x
_atom_site_fract_y
_atom_site_fract_z
Er1 Er 0.000 0.000 0.167
Mg1 Mg 0.000 0.500 0.000
Sn1 Sn 0.000 0.000 0.364
# Calculated volume (Å³ per atom): 25.107
# Energy (eV/f.u.): -11.76

5.
# ScTc2Pd (PBE, optimized geometry)
data_ScTc2Pd
_space_group_name_H-M_alt 'F -4 3 m'
_space_group_IT_number 216
_space_group_name_Hall 'F -4 2 3'
_cell_length_a 6.328
_cell_length_b 6.328
_cell_length_c 6.328
_cell_angle_alpha 90.00
_cell_angle_beta 90.00
_cell_angle_gamma 90.00
loop_
_atom_site_label
_atom_site_type_symbol
_atom_site_fract_x
_atom_site_fract_y
_atom_site_fract_z
Sc1 Sc 0.000 0.000 0.000
Tc1 Tc 0.000 0.000 0.500
Tc2 Tc 0.250 0.250 0.750
Pd1 Pd 0.250 0.250 0.250
# Calculated volume (Å³ per atom): 15.834
# DFT formation energy (eV/atom): -0.14

6.
# NaTaFeGe (PBE, optimized geometry)
data_NaTaFeGe
_space_group_name_H-M_alt 'F -4 3 m'
_space_group_IT_number 216
_space_group_name_Hall 'F -4 2 3'
_cell_length_a 6.149
_cell_length_b 6.149
_cell_length_c 6.149
_cell_angle_alpha 90.00
_cell_angle_beta 90.00
_cell_angle_gamma 90.00
loop_
_atom_site_label
_atom_site_type_symbol
_atom_site_fract_x
_atom_site_fract_y
_atom_site_fract_z
Na1 Na 0.000 0.000 0.000
Ta1 Ta 0.250 0.250 0.250
Fe1 Fe 0.000 0.000 0.500
Ge1 Ge 0.250 0.250 0.750
# Calculated volume (Å³ per atom): 14.531
# Energy (eV/f.u.): -24.86

7.
# DyHo3Tm2Sb2Os (PBE, optimized geometry)
data_DyHo3Tm2Sb2Os
_space_group_name_H-M_alt 'A m m 2'
_space_group_IT_number 38
_space_group_name_Hall 'A 2 -2'
_cell_length_a 4.191
_cell_length_b 14.076
_cell_length_c 8.153
_cell_angle_alpha 90.00
_cell_angle_beta 90.00
_cell_angle_gamma 90.00
loop_
_atom_site_label
_atom_site_type_symbol
_atom_site_fract_x
_atom_site_fract_y
_atom_site_fract_z
Dy1 Dy 0.000 0.000 0.000
Ho1 Ho 0.500 0.000 0.633
Ho2 Ho 0.500 0.119 0.274
Tm1 Tm 0.000 0.195 0.588
Sb1 Sb 0.500 0.167 0.892
Os1 Os 0.000 0.000 0.398
# Calculated volume (Å³ per atom): 26.719
# Energy (eV/f.u.): -52.67

8.
# HoScSi2 (PBE, optimized geometry)
data_HoScSi2
_space_group_name_H-M_alt 'A m m 2'
_space_group_IT_number 38
_space_group_name_Hall 'A 2 -2'
_cell_length_a 3.745
_cell_length_b 4.131
_cell_length_c 10.213
_cell_angle_alpha 90.00
_cell_angle_beta 90.00
_cell_angle_gamma 90.00
loop_
_atom_site_label
_atom_site_type_symbol
_atom_site_fract_x
_atom_site_fract_y
_atom_site_fract_z
Ho1 Ho 0.000 0.000 0.000
Sc1 Sc 0.500 0.000 0.720
Si1 Si 0.000 0.000 0.279
Si2 Si 0.500 0.000 0.436
# Calculated volume (Å³ per atom): 19.747
# Energy (eV/f.u.): -25.00

9.
# Ba2CoBiS6 (PBE, optimized geometry)
data_Ba2CoBiS6
_space_group_name_H-M_alt 'F m -3 m'
_space_group_IT_number 225
_space_group_name_Hall '-F 4 2 3'
_cell_length_a 9.921
_cell_length_b 9.921
_cell_length_c 9.921
_cell_angle_alpha 90.00
_cell_angle_beta 90.00
_cell_angle_gamma 90.00
loop_
_atom_site_label
_atom_site_type_symbol
_atom_site_fract_x
_atom_site_fract_y
_atom_site_fract_z
Ba1 Ba 0.250 0.250 0.250
Co1 Co 0.000 0.000 0.000
Bi1 Bi 0.000 0.000 0.500
S1 S 0.000 0.000 0.229
# Calculated volume (Å³ per atom): 24.410
# Energy (eV/f.u.): -47.59

10.
# Co6Mo (PBE, optimized geometry)
data_Co6Mo
_space_group_name_H-M_alt 'F m -3 m'
_space_group_IT_number 225
_space_group_name_Hall '-F 4 2 3'
_cell_length_a 7.061
_cell_length_b 7.061
_cell_length_c 7.061
_cell_angle_alpha 90.00
_cell_angle_beta 90.00
_cell_angle_gamma 90.00
loop_
_atom_site_label
_atom_site_type_symbol
_atom_site_fract_x
_atom_site_fract_y
_atom_site_fract_z
Co1 Co 0.000 0.250 0.250
Mo1 Mo 0.000 0.000 0.000
# Calculated volume (Å³ per atom): 12.574
# DFT formation energy (eV/atom): 0.38

11.
# SmYCo (PBE, optimized geometry)
data_SmYCo
_space_group_name_H-M_alt 'F -4 3 m'
_space_group_IT_number 216
_space_group_name_Hall 'F -4 2 3'
_cell_length_a 6.612
_cell_length_b 6.612
_cell_length_c 6.612
_cell_angle_alpha 90.00
_cell_angle_beta 90.00
_cell_angle_gamma 90.00
loop_
_atom_site_label
_atom_site_type_symbol
_atom_site_fract_x
_atom_site_fract_y
_atom_site_fract_z
Sm1 Sm 0.000 0.000 0.000
Y1 Y 0.250 0.250 0.250
Co1 Co 0.000 0.000 0.500
# Calculated volume (Å³ per atom): 24.087
# DFT formation energy (eV/atom): 0.80

12.
# Lu4NiBiC2 (PBE, optimized geometry)
data_Lu4NiBiC2
_space_group_name_H-M_alt 'P -6 m 2'
_space_group_IT_number 187
_space_group_name_Hall 'P -6 2'
_cell_length_a 3.5590
_cell_length_b 3.5590
_cell_length_c 14.1330
_cell_angle_alpha 90.00
_cell_angle_beta 90.00
_cell_angle_gamma 120.00
loop_
_atom_site_label
_atom_site_type_symbol
_atom_site_fract_x
_atom_site_fract_y
_atom_site_fract_z
Lu1 Lu 0.0000 0.0000 0.1336
Lu2 Lu 0.3333 0.6667 0.3156
Ni1 Ni 0.3333 0.6667 0.0000
Bi1 Bi 0.0000 0.0000 0.5000
C1 C 0.6667 0.3333 0.2304
# Calculated volume (Å³ per atom): 19.379
# Energy (eV/f.u.): -49.82

13.
# ZrSc2H6 (PBE, optimized geometry)
data_ZrSc2H6
_space_group_name_H-M_alt 'C 1 2/m 1'
_space_group_IT_number 12
_space_group_name_Hall '-C 2y'
_cell_length_a 10.556
_cell_length_b 4.786
_cell_length_c 3.338
_cell_angle_alpha 90.00
_cell_angle_beta 108.30
_cell_angle_gamma 90.00
loop_
_atom_site_label
_atom_site_type_symbol
_atom_site_fract_x
_atom_site_fract_y
_atom_site_fract_z
Zr1 Zr 0.000 0.000 0.000
Sc1 Sc 0.167 0.500 0.667
H1 H 0.000 0.250 0.500
H2 H 0.166 0.250 0.166
# Calculated volume (Å³ per atom): 8.895
# Energy (eV/f.u.): -47.30

14.
# ZnHgB2 (PBE, optimized geometry)
data_ZnHgB2
_space_group_name_H-M_alt 'F -4 3 m'
_space_group_IT_number 216
_space_group_name_Hall 'F -4 2 3'
_cell_length_a 6.067
_cell_length_b 6.067
_cell_length_c 6.067
_cell_angle_alpha 90.00
_cell_angle_beta 90.00
_cell_angle_gamma 90.00
loop_
_atom_site_label
_atom_site_type_symbol
_atom_site_fract_x
_atom_site_fract_y
_atom_site_fract_z
Zn1 Zn 0.000 0.000 0.000
Hg1 Hg 0.250 0.250 0.750
B1 B 0.000 0.000 0.500
B2 B 0.250 0.250 0.250
# Calculated volume (Å³ per atom): 13.957
# Energy (eV/f.u.): -8.18

15.
# PrZnInTe3 (PBE, optimized geometry)
data_PrZnInTe3
_space_group_name_H-M_alt 'C 1 2/m 1'
_space_group_IT_number 12
_space_group_name_Hall '-C 2y'
_cell_length_a 20.177
_cell_length_b 4.448
_cell_length_c 9.220
_cell_angle_alpha 90.00
_cell_angle_beta 103.22
_cell_angle_gamma 90.00
loop_
_atom_site_label
_atom_site_type_symbol
_atom_site_fract_x
_atom_site_fract_y
_atom_site_fract_z
Pr1 Pr 0.170 0.000 0.083
Zn1 Zn 0.038 0.500 0.225
In1 In 0.126 0.000 0.572
Te1 Te 0.000 0.000 0.000
Te2 Te 0.000 0.500 0.500
Te3 Te 0.170 0.500 0.842
Te4 Te 0.174 0.500 0.330
# Calculated volume (Å³ per atom): 33.567
# Energy (eV/f.u.): -22.13

16.
# KCu3ReTe4 (PBE, optimized geometry)
data_KCu3ReTe4
_space_group_name_H-M_alt 'P -4 3 m'
_space_group_IT_number 215
_space_group_name_Hall 'P -4 2 3'
_cell_length_a 6.518
_cell_length_b 6.518
_cell_length_c 6.518
_cell_angle_alpha 90.00
_cell_angle_beta 90.00
_cell_angle_gamma 90.00
loop_
_atom_site_label
_atom_site_type_symbol
_atom_site_fract_x
_atom_site_fract_y
_atom_site_fract_z
K1 K 0.000 0.000 0.000
Cu1 Cu 0.000 0.500 0.500
Re1 Re 0.500 0.500 0.500
Te1 Te 0.276 0.276 0.276
# Calculated volume (Å³ per atom): 30.774
# Energy (eV/f.u.): -36.16

17.
# K2Pd2O3 (PBE, optimized geometry)
data_K2Pd2O3
_space_group_name_H-M_alt 'R -3 m'
_space_group_IT_number 166
_space_group_name_Hall '-R 3 2"'
_cell_length_a 6.2058
_cell_length_b 6.2058
_cell_length_c 13.1420
_cell_angle_alpha 90.00
_cell_angle_beta 90.00
_cell_angle_gamma 120.00
loop_
_atom_site_label
_atom_site_type_symbol
_atom_site_fract_x
_atom_site_fract_y
_atom_site_fract_z
K1 K 0.0000 0.0000 0.0000
K2 K 0.0000 0.0000 0.5000
Pd1 Pd 0.0000 0.0000 0.2291
O1 O 0.0000 0.5000 0.5000
# Calculated volume (Å³ per atom): 20.872
# Energy (eV/f.u.): -30.66

18.
# HfSc2Ni (PBE, optimized geometry)
data_HfSc2Ni
_space_group_name_H-M_alt 'C m c m'
_space_group_IT_number 63
_space_group_name_Hall '-C 2c 2'
_cell_length_a 9.244
_cell_length_b 6.556
_cell_length_c 5.237
_cell_angle_alpha 90.00
_cell_angle_beta 90.00
_cell_angle_gamma 90.00
loop_
_atom_site_label
_atom_site_type_symbol
_atom_site_fract_x
_atom_site_fract_y
_atom_site_fract_z
Hf1 Hf 0.000 0.181 0.250
Sc1 Sc 0.198 0.158 0.750
Ni1 Ni 0.000 0.500 0.000
# Calculated volume (Å³ per atom): 19.834
# DFT formation energy (eV/atom): -0.02

19.
# NaLuW (PBE, optimized geometry)
data_NaLuW
_space_group_name_H-M_alt 'F -4 3 m'
_space_group_IT_number 216
_space_group_name_Hall 'F -4 2 3'
_cell_length_a 6.968
_cell_length_b 6.968
_cell_length_c 6.968
_cell_angle_alpha 90.00
_cell_angle_beta 90.00
_cell_angle_gamma 90.00
loop_
_atom_site_label
_atom_site_type_symbol
_atom_site_fract_x
_atom_site_fract_y
_atom_site_fract_z
Na1 Na 0.000 0.000 0.000
Lu1 Lu 0.000 0.000 0.500
W1 W 0.250 0.250 0.750
# Calculated volume (Å³ per atom): 28.191
# Energy (eV/f.u.): -13.73

20.
# Nd3As3W2N12 (PBE, optimized geometry)
data_Nd3As3W2N12
_space_group_name_H-M_alt 'I a -3 d'
_space_group_IT_number 230
_space_group_name_Hall '-I 4bd 2c 3'
_cell_length_a 12.617
_cell_length_b 12.617
_cell_length_c 12.617
_cell_angle_alpha 90.00
_cell_angle_beta 90.00
_cell_angle_gamma 90.00
loop_
_atom_site_label
_atom_site_type_symbol
_atom_site_fract_x
_atom_site_fract_y
_atom_site_fract_z
Nd1 Nd 0.000 0.250 0.125
As1 As 0.000 0.250 0.375
W1 W 0.000 0.000 0.000
N1 N 0.036 0.051 0.648
# Calculated volume (Å³ per atom): 12.553
# Energy (eV/f.u.): -162.38